Record 1
# meta-GGA SCAN ZrAs2SeBr, single point on PBEsol structure
# ρ = 4.88 g/cm³
# ΔE_f (raw) = 13 meV per atom
data_ZrAs2SeBr
_symmetry_space_group_name_H-M 'P 4/m m m'
_symmetry_Int_Tables_number 123
_symmetry_space_group_name_Hall '-P 4 2'
_cell_length_a 5.2121
_cell_length_b 5.2121
_cell_length_c 5.0059
_cell_angle_alpha 90.00
_cell_angle_beta 90.00
_cell_angle_gamma 90.00
loop_
_atom_site_label
_atom_site_fract_x
_atom_site_fract_y
_atom_site_fract_z
_atom_site_occupancy
Zr1 0.0000 0.0000 0.0000 1
As1 0.0000 0.5000 0.0000 1
Se1 0.0000 0.0000 0.5000 1
Br1 0.5000 0.5000 0.5000 1



Record 2
# meta-GGA SCAN ReHg2Te, single point on PBEsol structure
# Energy above the most stable polymorph in this dataset = 111.0 meV per atom
# ρ = 14.89 g/cm³
# ΔE_f (raw) = 1011 meV per atom
data_ReHg2Te
_symmetry_space_group_name_H-M 'C m m m'
_symmetry_Int_Tables_number 65
_symmetry_space_group_name_Hall '-C 2 2'
_cell_length_a 5.9456
_cell_length_b 9.1358
_cell_length_c 2.9367
_cell_angle_alpha 90.00
_cell_angle_beta 90.00
_cell_angle_gamma 90.00
loop_
_atom_site_label
_atom_site_fract_x
_atom_site_fract_y
_atom_site_fract_z
_atom_site_occupancy
Re1 0.0000 0.0000 0.0000 1
Hg1 0.2500 0.2500 0.5000 1
Te1 0.0000 0.5000 0.0000 1



Record 3
# meta-GGA SCAN Ba3Pt, single point on PBEsol structure
# Energy of formation from the pure elements = -0.50 eV per atom
# ρ = 6.11 g/cm³
data_Ba3Pt
_symmetry_space_group_name_H-M 'P n m a'
_symmetry_Int_Tables_number 62
_cell_length_a 8.2048
_cell_length_b 11.0415
_cell_length_c 7.2801
_cell_angle_alpha 90.00
_cell_angle_beta 90.00
_cell_angle_gamma 90.00
loop_
_symmetry_equiv_pos_as_xyz
'x,y,z'
'-x,-y,-z'
'-x+1/2,-y,z+1/2'
'x+1/2,y,-z+1/2'
'x+1/2,-y+1/2,-z+1/2'
'-x+1/2,y+1/2,z+1/2'
'-x,y+1/2,-z'
'x,-y+1/2,z'
loop_
_atom_site_label
_atom_site_fract_x
_atom_site_fract_y
_atom_site_fract_z
_atom_site_occupancy
Ba1 0.0492 0.2500 0.1621 1
Ba2 0.1685 0.0741 0.6774 1
Pt1 0.1187 0.7500 0.4432 1



Record 4
# meta-GGA SCAN Cu2RuSe, single point on PBEsol structure
# ρ = 9.69 g/cm³
# ΔE_f (raw) = 330 meV per atom
data_Cu2RuSe
_symmetry_space_group_name_H-M 'I -4 m 2'
_symmetry_Int_Tables_number 119
_symmetry_space_group_name_Hall 'I -4 -2'
_cell_length_a 3.7318
_cell_length_b 3.7318
_cell_length_c 7.5564
_cell_angle_alpha 90.00
_cell_angle_beta 90.00
_cell_angle_gamma 90.00
loop_
_atom_site_label
_atom_site_fract_x
_atom_site_fract_y
_atom_site_fract_z
_atom_site_occupancy
Cu1 0.0000 0.0000 0.0000 1
Cu2 0.0000 0.5000 0.2500 1
Ru1 0.0000 0.0000 0.5000 1
Se1 0.0000 0.5000 0.7500 1



Number 1: DOS at the Fermi energy 0.636 states/eV/atom. Number 2: DOS at the Fermi energy 0.660 states/eV/atom. Number 3: DOS at the Fermi energy 0.754 states/eV/atom. Number 4: DOS at the Fermi energy 0.581 states/eV/atom.